# PBE Ho3Zn2In2, relaxed
data_Ho3Zn2In2
_chemical_formula_sum 'Ho6 Zn4 In4'
_cell_length_a 4.3746
_cell_length_b 21.2855
_cell_length_c 3.5336
_cell_angle_alpha 90.00
_cell_angle_beta 90.00
_cell_angle_gamma 90.00
_symmetry_space_group_name_H-M 'C m m m'
_symmetry_Int_Tables_number 65
_symmetry_space_group_name_Hall '-C 2 2'
loop_
_atom_site_label
_atom_site_fract_x
_atom_site_fract_y
_atom_site_fract_z
Ho1 0.0000 0.0000 0.0000
Ho2 0.0000 0.1651 0.0000
Zn1 0.0000 0.2813 0.5000
In1 0.0000 0.4182 0.5000
# Electronic total energy in eV/cell: -49.5
# DFT formation energy in eV/atom: -0.42
# M_tot in μB/f.u.: 0.00